[1]
Below is CrFeMo2 after structural relaxation, with properties calculated at the PBEsol level.

```
CrFeMo2
1.0
-1.7423 -1.8802 -0.4045
1.7446 -0.8569 1.7195
-4.6375 2.9671 6.1838
Cr Fe Mo
1 1 2
Direct
0.5000 0.5000 0.5000
0.5000 0.5000 0.0000
0.0000 0.0000 0.2489
0.0000 0.0000 0.7511
```

The relative energy among the computed polymorphs comes out at 0.0 meV per atom. As for the formation energy: 0.49 eV/f.u. Its magnetization is 1.928 μB/f.u. The value obtained for the energy is -42.2 eV for the cell shown. Its density of states at the Fermi level is 3.2 states/eV per cell. Its space group is Cmmm.

[2]
Below is Sc2CrIr after structural relaxation, with properties calculated at the PBEsol level.

```
Sc2CrIr
1.0
-2.0149 2.0510 -1.0713
-2.9420 -3.2943 -0.7737
0.7144 1.1718 5.2937
Ir Sc Cr
1 2 1
Direct
0.7649 0.2648 0.5297
0.0159 0.0159 0.0317
0.2392 0.7392 0.4784
0.4801 0.4802 0.9601
```

As for the formation energy: -1.06 eV/f.u. Its magnetization is 0.922 μB/f.u. The value obtained for the energy is -34.3 eV for the cell shown. Its density of states at the Fermi level is 2.4 states/eV per cell. Its space group is Imm2.

[3]
Below is Co2SbO6 after structural relaxation, with properties calculated at the PBEsol level.

```
Co2SbO6
1.0
-2.2760 -4.4783 -0.5185
5.0193 0.2268 0.6036
-1.0983 -0.5219 9.3297
Co Sb O
4 2 12
Direct
0.3333 0.6666 0.0000
0.8333 0.6666 0.5000
0.6667 0.3334 0.0000
0.1667 0.3334 0.5000
0.5000 0.0000 0.5000
0.0000 0.0000 0.0000
0.0004 0.6467 0.1003
0.5004 0.6467 0.3997
0.6459 0.0000 0.1013
0.6462 0.6467 0.8997
0.3541 0.0000 0.8987
0.9996 0.3533 0.8997
0.1462 0.6467 0.6003
0.4996 0.3533 0.6003
0.3538 0.3533 0.1003
0.8541 0.0000 0.6013
0.1459 0.0000 0.3987
0.8538 0.3533 0.3997
```

Its magnetization is 1.028 μB/f.u. Its formation energy (no corrections) is -1074 meV per atom. The value obtained for the energy is -122.4 eV for the cell shown. Its density of states at the Fermi level is 10.6 states/eV per cell. Its space group is Cmce.

[4]
Below is PrCuSO after structural relaxation, with properties calculated at the PBEsol level.

```
PrCuSO
1.0
3.9113 0.0000 0.0000
0.0000 3.9113 0.0000
0.0000 0.0000 8.3102
O S Pr Cu
2 2 2 2
Direct
0.0000 0.0000 0.0000
0.5000 0.5000 0.0000
0.5000 0.0000 0.6628
0.0000 0.5000 0.3372
0.5000 0.0000 0.1500
0.0000 0.5000 0.8500
0.0000 0.0000 0.5000
0.5000 0.5000 0.5000
```

Its magnetization is 0.000 μB/f.u. Its formation energy (no corrections) is -1995 meV per atom. The value obtained for the energy is -54.3 eV for the cell shown. Its density of states at the Fermi level is 0.0 states/eV per cell. Its space group is P4/nmm.

[5]
Below is NiIr2Se after structural relaxation, with properties calculated at the PBEsol level.

```
NiIr2Se
1.0
-2.1920 0.8175 -1.5543
0.0752 -0.2841 -2.7933
-3.9623 -7.2790 -0.7785
Ir Ni Se
2 1 1
Direct
0.2477 0.2477 0.2568
0.7523 0.7523 0.7432
0.5000 0.5000 0.5000
0.0000 0.0000 0.0000
```

The relative energy among the computed polymorphs comes out at 17.8 meV per atom. Its magnetization is 0.734 μB/f.u. Its formation energy (no corrections) is 349 meV per atom. The value obtained for the energy is -28.3 eV for the cell shown. Its density of states at the Fermi level is 5.3 states/eV per cell. Its space group is R-3m.

[6]
Below is BaMgTe2I after structural relaxation, with properties calculated at the PBEsol level.

```
BaMgTe2I
1.0
5.4538 0.0000 0.0000
0.0000 5.4538 0.0000
0.0000 0.0000 5.8590
I Te Ba Mg
1 2 1 1
Direct
0.0000 0.0000 0.5000
0.5000 0.0000 0.0000
0.0000 0.5000 0.0000
0.5000 0.5000 0.5000
0.0000 0.0000 0.0000
```

Its magnetization is 0.001 μB/f.u. Its formation energy (no corrections) is -962 meV per atom. The value obtained for the energy is -17.5 eV for the cell shown. Its density of states at the Fermi level is 2.4 states/eV per cell. Its space group is P4/mmm.

[7]
Below is YMg2Sc after structural relaxation, with properties calculated at the PBEsol level.

```
YMg2Sc
1.0
5.2019 0.0000 0.0000
2.6010 4.5050 0.0000
2.6010 1.5017 4.2474
Mg Sc Y
2 1 1
Direct
0.2500 0.2500 0.2500
0.0000 0.0000 0.0000
0.5000 0.5000 0.5000
0.7500 0.7500 0.7500
```

The relative energy among the computed polymorphs comes out at 140.7 meV per atom. As for the formation energy: 0.32 eV/f.u. Its magnetization is 0.000 μB/f.u. The value obtained for the energy is -16.5 eV for the cell shown. Its density of states at the Fermi level is 4.0 states/eV per cell. Its space group is F-43m.

[8]
Below is RbV2CrO7 after structural relaxation, with properties calculated at the PBEsol level.

```
RbV2CrO7
1.0
-2.3650 -2.7548 3.1764
2.5532 -5.6151 -2.9689
5.8737 1.5956 5.7570
O Cr V Rb
14 2 4 2
Direct
0.1605 0.3868 0.8904
0.3267 0.4818 0.2014
0.8755 0.1204 0.6534
0.1605 0.1132 0.1096
0.8755 0.3796 0.3466
0.1245 0.8796 0.3466
0.8395 0.8868 0.8904
0.3267 0.0182 0.7986
0.8395 0.6132 0.1096
0.1245 0.6204 0.6534
0.2906 0.7500 0.0000
0.7094 0.2500 0.0000
0.6733 0.5182 0.7986
0.6733 0.9818 0.2014
0.5000 0.0000 0.0000
0.5000 0.5000 0.0000
0.9967 0.8769 0.1680
0.0033 0.3769 0.1680
0.9967 0.6231 0.8320
0.0033 0.1231 0.8320
0.3889 0.2500 0.5000
0.6111 0.7500 0.5000
```

Its magnetization is 3.001 μB/f.u. Its formation energy (no corrections) is -2254 meV per atom. The value obtained for the energy is -184.2 eV for the cell shown. Its density of states at the Fermi level is 0.0 states/eV per cell. Its space group is P2/c.

Copy entry 1 word for word.
Below is CrFeMo2 after structural relaxation, with properties calculated at the PBEsol level.

```
CrFeMo2
1.0
-1.7423 -1.8802 -0.4045
1.7446 -0.8569 1.7195
-4.6375 2.9671 6.1838
Cr Fe Mo
1 1 2
Direct
0.5000 0.5000 0.5000
0.5000 0.5000 0.0000
0.0000 0.0000 0.2489
0.0000 0.0000 0.7511
```

The relative energy among the computed polymorphs comes out at 0.0 meV per atom. As for the formation energy: 0.49 eV/f.u. Its magnetization is 1.928 μB/f.u. The value obtained for the energy is -42.2 eV for the cell shown. Its density of states at the Fermi level is 3.2 states/eV per cell. Its space group is Cmmm.